Entry 1:
Below is Mg3AuO at its PBEsol-relaxed geometry, with properties calculated at the SCAN level.

Properties
The raw formation energy comes out at 0.03 eV per atom.

Lattice parameters (Å, degrees): 4.964 4.964 4.964 90.00 90.00 90.00
Space group Pm-3m (No. 221)
Inequivalent atoms, fractional coordinates:
Mg (0.000, 0.000, 0.500) x3
Au (0.000, 0.000, 0.000) x1
O (0.500, 0.500, 0.500) x1

=====

Entry 2:
Below is MgAu2S4O16 at its PBEsol-relaxed geometry, with properties calculated at the SCAN level.

Properties
The raw formation energy comes out at -1.38 eV per atom.

Lattice parameters (Å, degrees): 14.498 16.888 10.368 90.00 90.00 90.00
Space group Fdd2 (No. 43)
Inequivalent atoms, fractional coordinates:
Mg (0.000, 0.000, 0.000) x8
Au (0.094, 0.378, 0.951) x16
S (0.056, 0.373, 0.241) x16
S (0.112, 0.120, 0.406) x16
O (0.028, 0.175, 0.431) x16
O (0.030, 0.177, 0.722) x16
O (0.048, 0.426, 0.349) x16
O (0.063, 0.425, 0.629) x16
O (0.067, 0.427, 0.123) x16
O (0.094, 0.059, 0.314) x16
O (0.119, 0.066, 0.998) x16
O (0.120, 0.326, 0.783) x16

=====

Entry 3:
Below is Mg2TcAuO at its PBEsol-relaxed geometry, with properties calculated at the SCAN level.

Properties
The raw formation energy comes out at 1.08 eV per atom.

Lattice parameters (Å, degrees): 5.059 5.059 4.712 90.00 90.00 90.00
Space group P4/mmm (No. 123)
Inequivalent atoms, fractional coordinates:
Mg (0.000, 0.500, 0.000) x2
Tc (0.000, 0.000, 0.000) x1
Au (0.000, 0.000, 0.500) x1
O (0.500, 0.500, 0.500) x1

=====

Entry 4:
Below is MgOs2Au at its PBEsol-relaxed geometry, with properties calculated at the SCAN level.

Properties
As for the formation enthalpy at 0 K: 0.53 eV/atom.

Lattice parameters (Å, degrees): 2.877 4.543 9.403 90.00 90.00 90.00
Space group Cmmm (No. 65)
Inequivalent atoms, fractional coordinates:
Mg (0.000, 0.000, 0.000) x2
Os (0.000, 0.500, 0.242) x4
Au (0.000, 0.000, 0.500) x2

=====

Entry 5:
Below is MgOsAu2 at its PBEsol-relaxed geometry, with properties calculated at the SCAN level.

Properties
As for the formation enthalpy at 0 K: 0.35 eV/atom.

Lattice parameters (Å, degrees): 6.362 6.362 6.362 90.00 90.00 90.00
Space group F-43m (No. 216)
Inequivalent atoms, fractional coordinates:
Mg (0.000, 0.000, 0.000) x4
Os (0.250, 0.250, 0.750) x4
Au (0.000, 0.000, 0.500) x4
Au (0.250, 0.250, 0.250) x4

=====

Entry 6:
Below is MgOs2Au at its PBEsol-relaxed geometry, with properties calculated at the SCAN level.

Properties
As for the formation enthalpy at 0 K: 0.21 eV/atom.

Lattice parameters (Å, degrees): 4.657 2.796 4.839 90.00 107.26 90.00
Space group P2/m (No. 10)
Inequivalent atoms, fractional coordinates:
Mg (0.000, 0.000, 0.000) x1
Os (0.000, 0.500, 0.500) x1
Os (0.500, 0.000, 0.500) x1
Au (0.500, 0.500, 0.000) x1

=====

Entry 7:
Below is MgOs2Au at its PBEsol-relaxed geometry, with properties calculated at the SCAN level.

Properties
As for the formation enthalpy at 0 K: 0.57 eV/atom.

Lattice parameters (Å, degrees): 2.678 2.678 8.552 90.00 90.00 90.00
Space group P4/mmm (No. 123)
Inequivalent atoms, fractional coordinates:
Mg (0.000, 0.000, 0.000) x1
Os (0.500, 0.500, 0.249) x2
Au (0.000, 0.000, 0.500) x1

=====

Entry 8:
Below is MgOsAu3 at its PBEsol-relaxed geometry, with properties calculated at the SCAN level.

Properties
As for the formation enthalpy at 0 K: 1.45 eV/atom. As for the relative energy among the computed polymorphs: 265 kJ/mol of formula units.

Lattice parameters (Å, degrees): 4.575 4.575 4.575 90.00 90.00 90.00
Space group Pm-3m (No. 221)
Inequivalent atoms, fractional coordinates:
Mg (0.000, 0.000, 0.000) x1
Os (0.500, 0.500, 0.500) x1
Au (0.000, 0.000, 0.500) x3

=====

Entry 9:
Below is MgOsAu2 at its PBEsol-relaxed geometry, with properties calculated at the SCAN level.

Properties
As for the formation enthalpy at 0 K: 0.14 eV/atom.

Lattice parameters (Å, degrees): 2.8314 2.8314 27.6707 90.00 90.00 120.00
Space group R3m (No. 160, hexagonal axes)
Inequivalent atoms, fractional coordinates:
Mg (0.0000, 0.0000, 0.0000) x3
Os (0.0000, 0.0000, 0.7464) x3
Au (0.0000, 0.0000, 0.2511) x3
Au (0.0000, 0.0000, 0.4958) x3

=====

Entry 10:
Below is MgOsAu2 at its PBEsol-relaxed geometry, with properties calculated at the SCAN level.

Properties
As for the formation enthalpy at 0 K: 0.24 eV/atom.

Lattice parameters (Å, degrees): 6.372 6.372 6.372 90.00 90.00 90.00
Space group Fm-3m (No. 225)
Inequivalent atoms, fractional coordinates:
Mg (0.000, 0.000, 0.000) x4
Os (0.000, 0.000, 0.500) x4
Au (0.250, 0.250, 0.250) x8

=====

Entry 11:
Below is MgOsAu2 at its PBEsol-relaxed geometry, with properties calculated at the SCAN level.

Properties
As for the formation enthalpy at 0 K: 0.05 eV/atom.

Lattice parameters (Å, degrees): 4.517 4.517 3.134 90.00 90.00 90.00
Space group P4/mmm (No. 123)
Inequivalent atoms, fractional coordinates:
Mg (0.000, 0.000, 0.000) x1
Os (0.500, 0.500, 0.000) x1
Au (0.000, 0.500, 0.500) x2

=====

Entry 12:
Below is MgOsAu3 at its PBEsol-relaxed geometry, with properties calculated at the SCAN level.

Properties
As for the formation enthalpy at 0 K: 0.90 eV/atom. As for the relative energy among the computed polymorphs: 0 kJ/mol of formula units.

Lattice parameters (Å, degrees): 4.948 4.948 4.948 90.00 90.00 90.00
Space group Pm-3m (No. 221)
Inequivalent atoms, fractional coordinates:
Mg (0.000, 0.000, 0.000) x1
Os (0.500, 0.500, 0.500) x1
Au (0.000, 0.500, 0.500) x3

=====

Entry 13:
Below is MgPOs2Au at its PBEsol-relaxed geometry, with properties calculated at the SCAN level.

Properties
As for the formation enthalpy at 0 K: 2.06 eV/atom.

Lattice parameters (Å, degrees): 4.816 4.816 4.639 90.00 90.00 90.00
Space group P4/mmm (No. 123)
Inequivalent atoms, fractional coordinates:
Mg (0.000, 0.000, 0.000) x1
P (0.500, 0.500, 0.000) x1
Os (0.000, 0.500, 0.500) x2
Au (0.000, 0.000, 0.500) x1

=====

Entry 14:
Below is MgOsPd2Au at its PBEsol-relaxed geometry, with properties calculated at the SCAN level.

Properties
As for the formation enthalpy at 0 K: 1.36 eV/atom.

Lattice parameters (Å, degrees): 4.397 4.397 4.642 90.00 90.00 90.00
Space group P4/mmm (No. 123)
Inequivalent atoms, fractional coordinates:
Mg (0.000, 0.000, 0.000) x1
Os (0.000, 0.000, 0.500) x1
Pd (0.000, 0.500, 0.000) x2
Au (0.500, 0.500, 0.500) x1

=====

Entry 15:
Below is MgPAu at its PBEsol-relaxed geometry, with properties calculated at the SCAN level.

Properties
As for the formation enthalpy at 0 K: -0.39 eV/atom.

Lattice parameters (Å, degrees): 6.8719 6.8719 3.7614 90.00 90.00 120.00
Space group P-62m (No. 189)
Inequivalent atoms, fractional coordinates:
Mg (0.0000, 0.6037, 0.0000) x3
P (0.0000, 0.2777, 0.5000) x3
Au (0.0000, 0.0000, 0.0000) x1
Au (0.3333, 0.6667, 0.5000) x2

=====

Entry 16:
Below is Mg2PAu at its PBEsol-relaxed geometry, with properties calculated at the SCAN level.

Properties
As for the formation enthalpy at 0 K: -0.46 eV/atom.

Lattice parameters (Å, degrees): 3.713 3.713 5.349 90.00 90.00 90.00
Space group P4mm (No. 99)
Inequivalent atoms, fractional coordinates:
Mg (0.000, 0.000, 0.000) x1
Mg (0.500, 0.500, 0.359) x1
P (0.000, 0.000, 0.498) x1
Au (0.500, 0.500, 0.856) x1

=====

Entry 17:
Below is MgP2Au at its PBEsol-relaxed geometry, with properties calculated at the SCAN level.

Properties
As for the formation enthalpy at 0 K: -0.21 eV/atom.

Lattice parameters (Å, degrees): 3.121 3.121 7.407 90.00 90.00 90.00
Space group P4mm (No. 99)
Inequivalent atoms, fractional coordinates:
Mg (0.000, 0.000, 0.000) x1
P (0.000, 0.000, 0.349) x1
P (0.500, 0.500, 0.452) x1
Au (0.500, 0.500, 0.784) x1

=====

Entry 18:
Below is MgTlPAu2 at its PBEsol-relaxed geometry, with properties calculated at the SCAN level.

Properties
As for the formation enthalpy at 0 K: 0.81 eV/atom.

Lattice parameters (Å, degrees): 5.125 5.125 5.111 90.00 90.00 90.00
Space group P4/mmm (No. 123)
Inequivalent atoms, fractional coordinates:
Mg (0.000, 0.000, 0.000) x1
Tl (0.500, 0.500, 0.500) x1
P (0.500, 0.500, 0.000) x1
Au (0.000, 0.500, 0.500) x2

=====

Entry 19:
Below is Mg2PbAu at its PBEsol-relaxed geometry, with properties calculated at the SCAN level.

Properties
As for the formation enthalpy at 0 K: -0.34 eV/atom.

Lattice parameters (Å, degrees): 9.150 3.447 5.625 90.00 103.22 90.00
Space group C2/m (No. 12)
Inequivalent atoms, fractional coordinates:
Mg (0.236, 0.000, 0.215) x4
Pb (0.000, 0.000, 0.500) x2
Au (0.000, 0.500, 0.000) x2

=====

Entry 20:
Below is Mg2PbAu at its PBEsol-relaxed geometry, with properties calculated at the SCAN level.

Properties
As for the formation enthalpy at 0 K: -0.47 eV/atom.

Lattice parameters (Å, degrees): 3.326 3.326 7.708 90.00 90.00 90.00
Space group P4/mmm (No. 123)
Inequivalent atoms, fractional coordinates:
Mg (0.000, 0.000, 0.201) x2
Pb (0.500, 0.500, 0.500) x1
Au (0.500, 0.500, 0.000) x1

=====

Number 1: size of the total moment 1.0 μB/cell. Number 2: size of the total moment 0.0 μB/cell. Number 3: size of the total moment 1.7 μB/cell. Number 4: size of the total moment 0.0 μB/cell. Number 5: size of the total moment 4.8 μB/cell. Number 6: size of the total moment 0.0 μB/cell. Number 7: size of the total moment 0.0 μB/cell. Number 8: size of the total moment 1.3 μB/cell. Number 9: size of the total moment 1.2 μB/cell. Number 10: size of the total moment 0.0 μB/cell. Number 11: size of the total moment 0.0 μB/cell. Number 12: size of the total moment 2.2 μB/cell. Number 13: size of the total moment 3.4 μB/cell. Number 14: size of the total moment 1.2 μB/cell. Number 15: size of the total moment 0.0 μB/cell. Number 16: size of the total moment 0.0 μB/cell. Number 17: size of the total moment 0.0 μB/cell. Number 18: size of the total moment 0.0 μB/cell. Number 19: size of the total moment 0.0 μB/cell. Number 20: size of the total moment 0.0 μB/cell.